Crystalline TaSiPt4 at its relaxed geometry, computed with PBE-GGA.

* calculated volume: 101.3 Å³/cell
* VASP energy: -41.01 eV for the cell shown
* formation energy (no corrections): 0.072 eV/atom
* DOS at the Fermi energy: 6.23 states/eV/f.u.
* space group: F-43m, No. 216

a = 5.2326 Å, b = 5.2326 Å, c = 5.2326 Å
α = 60.00°, β = 60.00°, γ = 60.00°
Last column: nearest neighbours and their distance in Å.
Fractional coordinates of all 6 atoms:
Pt (0.6253, 0.6253, 0.6253)  6 Pt 2.61-2.62
Pt (0.6253, 0.1242, 0.6253)  6 Pt 2.61-2.62
Pt (0.6253, 0.6253, 0.1242)  6 Pt 2.61-2.62
Pt (0.1242, 0.6253, 0.6253)  6 Pt 2.61-2.62
Si (0.2500, 0.2500, 0.2500)  12 Pt 3.07, 4 Ta 3.20
Ta (0.0000, 0.0000, 0.0000)  12 Pt 3.07, 4 Si 3.20